Pr2Al2GaRh5 (PBE, optimized geometry); calculated density = 8.7 Mg/m³; final energy = -6.418 eV/atom
1.0
10.1028 0.0000 0.0000
0.0000 10.1028 0.0000
0.0000 0.0000 3.4394
Pr Al Ga Rh
4 4 2 10
Direct
0.1756 0.3244 0.0000
0.3244 0.8244 0.0000
0.6756 0.1756 0.0000
0.8244 0.6756 0.0000
0.1240 0.6240 0.0000
0.3760 0.1240 0.0000
0.6240 0.8760 0.0000
0.8760 0.3760 0.0000
0.0000 0.0000 0.0000
0.5000 0.5000 0.0000
0.0000 0.5000 0.5000
0.0630 0.7960 0.5000
0.2040 0.0630 0.5000
0.2960 0.5630 0.5000
0.4370 0.2960 0.5000
0.5000 0.0000 0.5000
0.5630 0.7040 0.5000
0.7040 0.4370 0.5000
0.7960 0.9370 0.5000
0.9370 0.2040 0.5000

PrAlGaRh (PBE, optimized geometry); calculated density = 6.8 Mg/m³; final energy = -5.430 eV/atom
1.0
2.1214 1.2248 5.3538
-2.1214 1.2248 5.3538
0.0000 -2.4496 5.3538
Pr Al Ga Rh
1 1 1 1
Direct
0.0000 0.0000 0.0000
0.7940 0.7940 0.7940
0.2112 0.2112 0.2112
0.4972 0.4972 0.4972

PrAl2GaRu2 (PBE, optimized geometry); calculated density = 6.5 Mg/m³; final energy = -5.909 eV/atom
1.0
4.5667 0.0000 0.0000
0.0000 4.5667 0.0000
0.0000 0.0000 5.7436
Pr Al Ga Ru
1 2 1 2
Direct
0.0000 0.0000 0.0000
0.5000 0.5000 0.2538
0.5000 0.5000 0.7462
0.0000 0.0000 0.5000
0.0000 0.5000 0.5000
0.5000 0.0000 0.5000

PrAlGaRu (PBE, optimized geometry); calculated density = 6.7 Mg/m³; final energy = -5.683 eV/atom
1.0
2.1341 1.2321 5.3008
-2.1341 1.2321 5.3008
0.0000 -2.4642 5.3008
Pr Al Ga Ru
1 1 1 1
Direct
0.0000 0.0000 0.0000
0.7941 0.7941 0.7941
0.2087 0.2087 0.2087
0.4928 0.4928 0.4928

PrAlGa2S6 (PBE, optimized geometry); formation energy from raw total energies = -1.0391 eV per atom; calculated density = 3.5 Mg/m³; final energy = -4.973 eV/atom
1.0
6.5304 -5.4917 0.0000
6.5304 5.4917 0.0000
-3.0414 0.0000 6.6040
Pr Al Ga S
2 2 4 12
Direct
0.1684 0.8316 0.7500
0.8316 0.1684 0.2500
0.1846 0.8154 0.2500
0.8154 0.1846 0.7500
0.2508 0.3685 0.8164
0.3685 0.2508 0.3164
0.6315 0.7492 0.6836
0.7492 0.6315 0.1836
0.0515 0.1703 0.6564
0.1231 0.6179 0.9551
0.1703 0.0515 0.1564
0.2615 0.4515 0.5472
0.3821 0.8769 0.5449
0.4515 0.2615 0.0472
0.5485 0.7385 0.9528
0.6179 0.1231 0.4551
0.7385 0.5485 0.4528
0.8297 0.9485 0.8436
0.8769 0.3821 0.0449
0.9485 0.8297 0.3436

Pr2Sm2AlGa4 (PBE, optimized geometry); calculated density = 6.4 Mg/m³; final energy = -4.172 eV/atom
1.0
-3.5664 3.5664 4.5022
3.5664 -3.5664 4.5022
3.5664 3.5664 -4.5022
Pr Sm Al Ga
2 2 1 4
Direct
0.2500 0.7500 0.5000
0.7500 0.2500 0.5000
0.1854 0.1854 0.0000
0.8146 0.8146 0.0000
0.5000 0.5000 0.0000
0.2538 0.2538 0.5077
0.2538 0.7462 0.0000
0.7462 0.2538 0.0000
0.7462 0.7462 0.4923